# BaLi2Pr2In2 (PBE-GGA, relaxed)
data_BaLi2Pr2In2
_space_group_name_H-M_alt 'P 1'
_space_group_IT_number 1
_space_group_name_Hall 'P 1'
_cell_length_a 10.3118
_cell_length_b 10.3118
_cell_length_c 10.3118
_cell_angle_alpha 28.64
_cell_angle_beta 28.64
_cell_angle_gamma 28.64
loop_
_atom_site_label
_atom_site_type_symbol
_atom_site_fract_x
_atom_site_fract_y
_atom_site_fract_z
Ba1 Ba 0.0000 0.0000 0.0000
Li1 Li 0.4157 0.4157 0.4157
Li2 Li 0.5843 0.5843 0.5843
Pr1 Pr 0.1312 0.1312 0.1312
Pr2 Pr 0.8688 0.8688 0.8688
In1 In 0.2496 0.2496 0.2496
In2 In 0.7504 0.7504 0.7504
# ΔE_f   -246 meV per atom
# Volume   222.7 Å³/cell
# SG   R-3m (166)

=====

# BaLiInPt2 (PBE-GGA, relaxed)
data_BaLiInPt2
_space_group_name_H-M_alt 'P 1'
_space_group_IT_number 1
_space_group_name_Hall 'P 1'
_cell_length_a 4.3957
_cell_length_b 4.3957
_cell_length_c 12.0049
_cell_angle_alpha 90.00
_cell_angle_beta 90.00
_cell_angle_gamma 90.00
loop_
_atom_site_label
_atom_site_type_symbol
_atom_site_fract_x
_atom_site_fract_y
_atom_site_fract_z
Ba1 Ba 0.0000 0.0000 0.0000
Ba2 Ba 0.5000 0.5000 0.5000
Li1 Li 0.0000 0.5000 0.7500
Li2 Li 0.5000 0.0000 0.2500
In1 In 0.0000 0.5000 0.2500
In2 In 0.5000 0.0000 0.7500
Pt1 Pt 0.0000 0.0000 0.3871
Pt2 Pt 0.0000 0.0000 0.6129
Pt3 Pt 0.5000 0.5000 0.1129
Pt4 Pt 0.5000 0.5000 0.8871
# ΔE_f   -700 meV per atom
# Volume   232.0 Å³/cell
# SG   I-4m2 (119)

=====

# BaLiIn2Pt2 (PBE-GGA, relaxed)
data_BaLiIn2Pt2
_space_group_name_H-M_alt 'P 1'
_space_group_IT_number 1
_space_group_name_Hall 'P 1'
_cell_length_a 4.6909
_cell_length_b 4.6909
_cell_length_c 7.5694
_cell_angle_alpha 90.00
_cell_angle_beta 90.00
_cell_angle_gamma 120.00
loop_
_atom_site_label
_atom_site_type_symbol
_atom_site_fract_x
_atom_site_fract_y
_atom_site_fract_z
Ba1 Ba 0.0000 0.0000 0.0000
Li1 Li 0.0000 0.0000 0.5000
In1 In 0.3333 0.6667 0.6643
In2 In 0.6667 0.3333 0.3357
Pt1 Pt 0.3333 0.6667 0.2977
Pt2 Pt 0.6667 0.3333 0.7023
# ΔE_f   -664 meV per atom
# Volume   144.2 Å³/cell
# SG   P-3m1 (164)

=====

# Ba2LiIn3Pt4 (PBE-GGA, relaxed)
data_Ba2LiIn3Pt4
_space_group_name_H-M_alt 'P 1'
_space_group_IT_number 1
_space_group_name_Hall 'P 1'
_cell_length_a 4.6635
_cell_length_b 4.6635
_cell_length_c 11.2063
_cell_angle_alpha 90.00
_cell_angle_beta 90.00
_cell_angle_gamma 90.00
loop_
_atom_site_label
_atom_site_type_symbol
_atom_site_fract_x
_atom_site_fract_y
_atom_site_fract_z
Ba1 Ba 0.0000 0.5000 0.2479
Ba2 Ba 0.5000 0.0000 0.7521
Li1 Li 0.0000 0.0000 0.5000
In1 In 0.0000 0.5000 0.8770
In2 In 0.5000 0.0000 0.1230
In3 In 0.5000 0.5000 0.5000
Pt1 Pt 0.0000 0.0000 0.0000
Pt2 Pt 0.0000 0.5000 0.6329
Pt3 Pt 0.5000 0.0000 0.3671
Pt4 Pt 0.5000 0.5000 0.0000
# ΔE_f   -645 meV per atom
# Volume   243.7 Å³/cell
# SG   P-4m2 (115)

=====

# Ba2Li6InPt (PBE-GGA, relaxed)
data_Ba2Li6InPt
_space_group_name_H-M_alt 'P 1'
_space_group_IT_number 1
_space_group_name_Hall 'P 1'
_cell_length_a 7.3310
_cell_length_b 7.3310
_cell_length_c 7.3310
_cell_angle_alpha 60.00
_cell_angle_beta 60.00
_cell_angle_gamma 60.00
loop_
_atom_site_label
_atom_site_type_symbol
_atom_site_fract_x
_atom_site_fract_y
_atom_site_fract_z
Ba1 Ba 0.2500 0.2500 0.2500
Ba2 Ba 0.7500 0.7500 0.7500
Li1 Li 0.2352 0.2352 0.7648
Li2 Li 0.2352 0.7648 0.2352
Li3 Li 0.2352 0.7648 0.7648
Li4 Li 0.7648 0.2352 0.2352
Li5 Li 0.7648 0.2352 0.7648
Li6 Li 0.7648 0.7648 0.2352
In1 In 0.5000 0.5000 0.5000
Pt1 Pt 0.0000 0.0000 0.0000
# ΔE_f   -161 meV per atom
# Volume   278.6 Å³/cell
# SG   Fm-3m (225)

=====

# BaLi2InPt (PBE-GGA, relaxed)
data_BaLi2InPt
_space_group_name_H-M_alt 'P 1'
_space_group_IT_number 1
_space_group_name_Hall 'P 1'
_cell_length_a 5.0794
_cell_length_b 5.0794
_cell_length_c 5.1903
_cell_angle_alpha 90.00
_cell_angle_beta 90.00
_cell_angle_gamma 90.00
loop_
_atom_site_label
_atom_site_type_symbol
_atom_site_fract_x
_atom_site_fract_y
_atom_site_fract_z
Ba1 Ba 0.0000 0.0000 0.0000
Li1 Li 0.0000 0.5000 0.5000
Li2 Li 0.5000 0.0000 0.5000
In1 In 0.5000 0.5000 0.0000
Pt1 Pt 0.5000 0.5000 0.5000
# ΔE_f   -380 meV per atom
# Volume   133.9 Å³/cell
# SG   P4/mmm (123)

=====

# Ba2LiInPt (PBE-GGA, relaxed)
data_Ba2LiInPt
_space_group_name_H-M_alt 'P 1'
_space_group_IT_number 1
_space_group_name_Hall 'P 1'
_cell_length_a 6.1745
_cell_length_b 6.1745
_cell_length_c 4.8449
_cell_angle_alpha 90.00
_cell_angle_beta 90.00
_cell_angle_gamma 90.00
loop_
_atom_site_label
_atom_site_type_symbol
_atom_site_fract_x
_atom_site_fract_y
_atom_site_fract_z
Ba1 Ba 0.0000 0.5000 0.0000
Ba2 Ba 0.5000 0.0000 0.0000
Li1 Li 0.0000 0.0000 0.5000
In1 In 0.5000 0.5000 0.5000
Pt1 Pt 0.0000 0.0000 0.0000
# ΔE_f   -384 meV per atom
# Volume   184.7 Å³/cell
# Polymorph energy (0 for the lowest one)   0 meV/atom
# SG   P4/mmm (123)

=====

# Ba2LiInPt (PBE-GGA, relaxed)
data_Ba2LiInPt
_space_group_name_H-M_alt 'P 1'
_space_group_IT_number 1
_space_group_name_Hall 'P 1'
_cell_length_a 6.1924
_cell_length_b 6.1924
_cell_length_c 5.2593
_cell_angle_alpha 90.00
_cell_angle_beta 90.00
_cell_angle_gamma 90.00
loop_
_atom_site_label
_atom_site_type_symbol
_atom_site_fract_x
_atom_site_fract_y
_atom_site_fract_z
Ba1 Ba 0.0000 0.5000 0.0000
Ba2 Ba 0.5000 0.0000 0.0000
Li1 Li 0.0000 0.0000 0.5000
In1 In 0.5000 0.5000 0.5000
Pt1 Pt 0.5000 0.5000 0.0000
# ΔE_f   -370 meV per atom
# Volume   201.7 Å³/cell
# Polymorph energy (0 for the lowest one)   14 meV/atom
# SG   P4/mmm (123)

=====

# Ba2LiIn12Pt3 (PBE-GGA, relaxed)
data_Ba2LiIn12Pt3
_space_group_name_H-M_alt 'P 1'
_space_group_IT_number 1
_space_group_name_Hall 'P 1'
_cell_length_a 8.7202
_cell_length_b 8.7202
_cell_length_c 8.7202
_cell_angle_alpha 70.74
_cell_angle_beta 70.74
_cell_angle_gamma 70.74
loop_
_atom_site_label
_atom_site_type_symbol
_atom_site_fract_x
_atom_site_fract_y
_atom_site_fract_z
Ba1 Ba 0.1011 0.1011 0.1011
Ba2 Ba 0.8989 0.8989 0.8989
Li1 Li 0.5000 0.5000 0.5000
In1 In 0.1450 0.6335 0.6335
In2 In 0.2164 0.2164 0.6110
In3 In 0.2164 0.6110 0.2164
In4 In 0.3665 0.3665 0.8550
In5 In 0.3665 0.8550 0.3665
In6 In 0.3890 0.7836 0.7836
In7 In 0.6110 0.2164 0.2164
In8 In 0.6335 0.1450 0.6335
In9 In 0.6335 0.6335 0.1450
In10 In 0.7836 0.3890 0.7836
In11 In 0.7836 0.7836 0.3890
In12 In 0.8550 0.3665 0.3665
Pt1 Pt 0.0000 0.5000 0.5000
Pt2 Pt 0.5000 0.0000 0.5000
Pt3 Pt 0.5000 0.5000 0.0000
# ΔE_f   -171 meV per atom
# Volume   572.5 Å³/cell
# SG   R-3m (166)

=====

# BaLi2InRh (PBE-GGA, relaxed)
data_BaLi2InRh
_space_group_name_H-M_alt 'P 1'
_space_group_IT_number 1
_space_group_name_Hall 'P 1'
_cell_length_a 5.0439
_cell_length_b 5.0439
_cell_length_c 5.1705
_cell_angle_alpha 90.00
_cell_angle_beta 90.00
_cell_angle_gamma 90.00
loop_
_atom_site_label
_atom_site_type_symbol
_atom_site_fract_x
_atom_site_fract_y
_atom_site_fract_z
Ba1 Ba 0.0000 0.0000 0.0000
Li1 Li 0.0000 0.5000 0.5000
Li2 Li 0.5000 0.0000 0.5000
In1 In 0.5000 0.5000 0.0000
Rh1 Rh 0.5000 0.5000 0.5000
# ΔE_f   -183 meV per atom
# Volume   131.5 Å³/cell
# SG   P4/mmm (123)

=====

# Ba2LiInRh (PBE-GGA, relaxed)
data_Ba2LiInRh
_space_group_name_H-M_alt 'P 1'
_space_group_IT_number 1
_space_group_name_Hall 'P 1'
_cell_length_a 6.0457
_cell_length_b 6.0457
_cell_length_c 5.2646
_cell_angle_alpha 90.00
_cell_angle_beta 90.00
_cell_angle_gamma 90.00
loop_
_atom_site_label
_atom_site_type_symbol
_atom_site_fract_x
_atom_site_fract_y
_atom_site_fract_z
Ba1 Ba 0.0000 0.5000 0.0000
Ba2 Ba 0.5000 0.0000 0.0000
Li1 Li 0.0000 0.0000 0.5000
In1 In 0.5000 0.5000 0.5000
Rh1 Rh 0.5000 0.5000 0.0000
# ΔE_f   -193 meV per atom
# Volume   192.4 Å³/cell
# Polymorph energy (0 for the lowest one)   0 meV/atom
# SG   P4/mmm (123)

=====

# Ba2LiIn12Rh3 (PBE-GGA, relaxed)
data_Ba2LiIn12Rh3
_space_group_name_H-M_alt 'P 1'
_space_group_IT_number 1
_space_group_name_Hall 'P 1'
_cell_length_a 8.7608
_cell_length_b 8.7608
_cell_length_c 8.7608
_cell_angle_alpha 70.43
_cell_angle_beta 70.43
_cell_angle_gamma 70.43
loop_
_atom_site_label
_atom_site_type_symbol
_atom_site_fract_x
_atom_site_fract_y
_atom_site_fract_z
Ba1 Ba 0.1075 0.1075 0.1075
Ba2 Ba 0.8925 0.8925 0.8925
Li1 Li 0.5000 0.5000 0.5000
In1 In 0.1451 0.6281 0.6281
In2 In 0.2253 0.2253 0.5788
In3 In 0.2253 0.5788 0.2253
In4 In 0.3719 0.3719 0.8549
In5 In 0.3719 0.8549 0.3719
In6 In 0.4212 0.7747 0.7747
In7 In 0.5788 0.2253 0.2253
In8 In 0.6281 0.1451 0.6281
In9 In 0.6281 0.6281 0.1451
In10 In 0.7747 0.4212 0.7747
In11 In 0.7747 0.7747 0.4212
In12 In 0.8549 0.3719 0.3719
Rh1 Rh 0.0000 0.5000 0.5000
Rh2 Rh 0.5000 0.0000 0.5000
Rh3 Rh 0.5000 0.5000 0.0000
# ΔE_f   -89 meV per atom
# Volume   577.9 Å³/cell
# SG   R-3m (166)